A:
A plane-wave DFT calculation with GGA-PBE was carried out for a geometry-optimized Mn3ZnRu structure.

Cell lengths 4.7380, 4.7380, 4.7380 Å; angles 90.00, 90.00, 90.00 degrees
With the nearest neighbours (Å) after each atom.
Sites, in units of the cell vectors:
Mn (0.0000, 0.5000, 0.0000)  2 Ru 2.37
Mn (0.5000, 0.0000, 0.0000)  2 Ru 2.37
Mn (0.0000, 0.0000, 0.5000)  2 Ru 2.37
Zn (0.5000, 0.5000, 0.5000)  12 Mn 3.35
Ru (0.0000, 0.0000, 0.0000)  6 Mn 2.37

Output
The calculation puts the total magnetization at 12.0 μB per formula unit. Its space group is Pm-3m.

---

B:
A plane-wave DFT calculation with GGA-PBE was carried out for a geometry-optimized Mn3ZnRu structure.

Cell lengths 4.2063, 4.2063, 4.2063 Å; angles 90.00, 90.00, 90.00 degrees
With the nearest neighbours (Å) after each atom.
Sites, in units of the cell vectors:
Mn (0.0000, 0.5000, 0.0000)  2 Zn 2.10
Mn (0.0000, 0.0000, 0.5000)  2 Zn 2.10
Mn (0.5000, 0.0000, 0.0000)  2 Zn 2.10
Ru (0.5000, 0.5000, 0.5000)  12 Mn 2.97
Zn (0.0000, 0.0000, 0.0000)  6 Mn 2.10

Output
The calculation puts the total magnetization at 0.7 μB per formula unit. Its space group is Pm-3m.

---

According to the calculations, the structures order from most to least stable as A, B.